# 1
# Pu2GeTe PBE optimized geometry
# Density of states at the Fermi level, states/eV per cell: 15.1
# Uncorrected formation energy, eV/f.u.: -2.47
data_Pu2GeTe
_chemical_formula_sum 'Pu2 Ge1 Te1'
_cell_length_a 3.923
_cell_length_b 3.923
_cell_length_c 6.378
_cell_angle_alpha 90.00
_cell_angle_beta 90.00
_cell_angle_gamma 90.00
_symmetry_space_group_name_H-M 'P 4/m m m'
_symmetry_Int_Tables_number 123
_symmetry_space_group_name_Hall '-P 4 2'
loop_
_atom_site_label
_atom_site_fract_x
_atom_site_fract_y
_atom_site_fract_z
Pu1 0.000 0.000 0.230
Ge1 0.500 0.500 0.000
Te1 0.500 0.500 0.500



# 2
# YCd2PtCl PBE optimized geometry
# Density of states at the Fermi level, states/eV per cell: 1.8
# Uncorrected formation energy, eV/f.u.: 1.12
data_YCd2PtCl
_chemical_formula_sum 'Y1 Cd2 Pt1 Cl1'
_cell_length_a 5.032
_cell_length_b 5.032
_cell_length_c 5.044
_cell_angle_alpha 90.00
_cell_angle_beta 90.00
_cell_angle_gamma 90.00
_symmetry_space_group_name_H-M 'P 4/m m m'
_symmetry_Int_Tables_number 123
_symmetry_space_group_name_Hall '-P 4 2'
loop_
_atom_site_label
_atom_site_fract_x
_atom_site_fract_y
_atom_site_fract_z
Y1 0.000 0.000 0.000
Cd1 0.000 0.500 0.500
Pt1 0.500 0.500 0.000
Cl1 0.000 0.000 0.500